No. 1
! Ti8SbN2, relaxed, DFT PBE; values from VASP
! Mass density in g/cm³: 5.44
! Total magnetization in μB per formula unit: 0.00
! Electronic total energy in eV/atom: -8.0925
&SYSTEM
  ibrav = 0, nat = 11, ntyp = 3
/
ATOMIC_SPECIES
Ti 47.87 Ti.upf
N 14.01 N.upf
Sb 121.76 Sb.upf
CELL_PARAMETERS angstrom
-1.0974 0.7940 4.3717
0.4229 -6.4793 3.6787
4.9483 -3.5804 4.2881
ATOMIC_POSITIONS angstrom
Ti 3.9780 -4.9672 6.6934
Ti 0.3746 -1.6763 5.1919
Ti 1.6014 -6.4896 6.3734
Ti 0.2958 -4.2984 5.6451
Ti 1.9124 -3.7323 3.5531
Ti 3.8992 -7.5893 7.1466
Ti 2.3614 -5.5333 8.7854
Ti 2.6724 -2.7760 5.9651
N 3.3426 -7.1795 9.3302
N 0.9312 -2.0861 3.0083
Sb 0.0000 0.0000 0.0000



No. 2
! Ti3SbN, relaxed, DFT PBE; values from VASP
! Mass density in g/cm³: 6.17
! Total magnetization in μB per formula unit: 0.00
! Electronic total energy in eV/atom: -8.2390
&SYSTEM
  ibrav = 0, nat = 10, ntyp = 3
/
ATOMIC_SPECIES
Ti 47.87 Ti.upf
Sb 121.76 Sb.upf
N 14.01 N.upf
CELL_PARAMETERS angstrom
3.2588 0.0000 0.0000
-1.6294 5.5996 0.0000
0.0000 0.0000 8.2454
ATOMIC_POSITIONS angstrom
Ti 0.0000 4.2910 7.8909
Ti 1.6294 1.3086 3.7682
Ti 0.0000 4.2910 4.4772
Ti 1.6294 5.1934 2.0613
Ti 1.6294 1.3086 0.3545
Ti 0.0000 0.4062 6.1840
Sb 0.0000 2.8666 2.0613
Sb 1.6294 2.7330 6.1840
N 0.0000 0.0000 0.0000
N 0.0000 0.0000 4.1227



No. 3
! Ti4Sb2N, relaxed, DFT PBE; values from VASP
! Mass density in g/cm³: 6.17
! Total magnetization in μB per formula unit: 0.00
! Energy relative to the lowest polymorph listed for this composition in kJ/mol of atoms: 1.5
&SYSTEM
  ibrav = 0, nat = 7, ntyp = 3
/
ATOMIC_SPECIES
N 14.01 N.upf
Ti 47.87 Ti.upf
Sb 121.76 Sb.upf
CELL_PARAMETERS angstrom
4.1446 0.0000 0.0000
0.0000 4.1446 0.0000
-2.0723 -2.0723 7.0400
ATOMIC_POSITIONS angstrom
N 0.0000 0.0000 0.0000
Ti 2.0723 0.0000 0.0000
Ti 2.0723 2.0723 4.9704
Ti 0.0000 0.0000 2.0696
Ti 0.0000 2.0723 0.0000
Sb 2.0723 2.0723 2.1078
Sb 0.0000 0.0000 4.9322



No. 4
! Ti3SbN, relaxed, DFT PBE; values from VASP
! Mass density in g/cm³: 6.03
! Total magnetization in μB per formula unit: 0.00
! Electronic total energy in eV/atom: -8.1529
&SYSTEM
  ibrav = 0, nat = 10, ntyp = 3
/
ATOMIC_SPECIES
Ti 47.87 Ti.upf
N 14.01 N.upf
Sb 121.76 Sb.upf
CELL_PARAMETERS angstrom
-3.2104 1.8243 -1.7405
-1.3649 -4.4488 2.6416
1.0672 6.6843 5.0378
ATOMIC_POSITIONS angstrom
Ti -3.0163 3.6959 4.6503
Ti -0.4918 0.3640 1.2886
Ti -2.0403 -2.1394 1.5209
Ti -1.4678 6.1992 4.4179
Ti -0.0496 3.6408 3.9077
Ti -3.4585 0.4190 2.0311
N -3.7841 -1.3162 0.8130
N 0.2760 5.3760 5.1258
Sb -1.7012 1.1710 4.3652
Sb -1.8069 2.8888 1.5736



No. 5
! Ti5Sb2N, relaxed, DFT PBE; values from VASP
! Mass density in g/cm³: 4.95
! Total magnetization in μB per formula unit: 1.27
! Electronic total energy in eV/atom: -7.2941
&SYSTEM
  ibrav = 0, nat = 16, ntyp = 3
/
ATOMIC_SPECIES
Ti 47.87 Ti.upf
Sb 121.76 Sb.upf
N 14.01 N.upf
CELL_PARAMETERS angstrom
4.2082 0.0000 0.0000
-2.1041 7.1496 0.0000
0.0000 0.0000 11.0716
ATOMIC_POSITIONS angstrom
Ti 0.0000 3.8221 0.8850
Ti 2.1041 3.1556 2.7679
Ti 0.0000 1.2052 1.5265
Ti 2.1041 5.9444 9.5451
Ti 0.0000 3.8221 4.6508
Ti 2.1041 5.9444 7.0623
Ti 0.0000 3.9940 8.3037
Ti 2.1041 3.3274 6.4208
Ti 0.0000 1.2052 4.0093
Ti 2.1041 3.3274 10.1866
Sb 2.1041 5.5381 1.1619
Sb 0.0000 1.6115 6.6977
Sb 2.1041 5.5381 4.3739
Sb 0.0000 1.6115 9.9097
N 2.1041 4.3043 8.3037
N 0.0000 2.8452 2.7679



No. 6
! TiSbN3, relaxed, DFT PBE; values from VASP
! Mass density in g/cm³: 5.68
! Total magnetization in μB per formula unit: 0.00
! Electronic total energy in eV/atom: -6.4017
&SYSTEM
  ibrav = 0, nat = 5, ntyp = 3
/
ATOMIC_SPECIES
Sb 121.76 Sb.upf
N 14.01 N.upf
Ti 47.87 Ti.upf
CELL_PARAMETERS angstrom
3.9548 0.0000 0.0000
0.0000 3.9548 0.0000
0.0000 0.0000 3.9548
ATOMIC_POSITIONS angstrom
Sb 0.0000 0.0000 0.0000
N 1.9774 0.0000 0.0000
N 0.0000 1.9774 0.0000
N 0.0000 0.0000 1.9774
Ti 1.9774 1.9774 1.9774



No. 7
! TiSb2N, relaxed, DFT PBE; values from VASP
! Mass density in g/cm³: 6.32
! Total magnetization in μB per formula unit: 0.00
! Electronic total energy in eV/atom: -5.6461
&SYSTEM
  ibrav = 0, nat = 8, ntyp = 3
/
ATOMIC_SPECIES
Sb 121.76 Sb.upf
Ti 47.87 Ti.upf
N 14.01 N.upf
CELL_PARAMETERS angstrom
6.3867 0.0000 0.0000
0.0000 6.3867 0.0000
3.1933 3.1933 3.9334
ATOMIC_POSITIONS angstrom
Sb 2.0434 4.7900 0.9834
Sb 4.3433 1.5967 0.9834
Sb 7.9834 7.5366 2.9501
Sb 4.7900 5.2368 2.9501
Ti 6.3867 3.1933 1.9667
Ti 0.0000 0.0000 0.0000
N 3.1933 3.1933 0.0000
N 3.1933 6.3867 1.9667



No. 8
! Ti6Sb2N, relaxed, DFT PBE; values from VASP
! Mass density in g/cm³: 6.21
! Total magnetization in μB per formula unit: 0.00
! Energy relative to the lowest polymorph listed for this composition in kJ/mol of atoms: 0.0
&SYSTEM
  ibrav = 0, nat = 9, ntyp = 3
/
ATOMIC_SPECIES
N 14.01 N.upf
Ti 47.87 Ti.upf
Sb 121.76 Sb.upf
CELL_PARAMETERS angstrom
-1.9789 -4.3537 -0.5140
5.3668 -2.4748 0.2857
2.2403 -1.6370 5.2259
ATOMIC_POSITIONS angstrom
N 0.0000 0.0000 0.0000
Ti 0.9225 -4.7336 3.1970
Ti -0.2302 -3.9018 0.5160
Ti 2.5258 -5.1633 0.6637
Ti 4.7057 -3.7319 1.8006
Ti 3.1024 -3.3023 4.3339
Ti 5.8584 -4.5637 4.4816
Sb 3.5860 -6.0145 3.2894
Sb 2.0422 -2.4510 1.7081